Compound: Tb2PrHoIn4
Source: the Alexandria database
Functional: PBE
Structure: optimized geometry

Cell lengths 9.3234, 9.3234, 9.3234 Å; angles 33.45, 33.45, 33.45 degrees
Fractional coordinates of all 8 atoms:
Tb 0.2495 0.2495 0.2495
Tb 0.7505 0.7505 0.7505
Pr 0.0000 0.0000 0.0000
Ho 0.5000 0.5000 0.5000
In 0.1267 0.1267 0.1267
In 0.3769 0.3769 0.3769
In 0.6231 0.6231 0.6231
In 0.8733 0.8733 0.8733

Calculated values
DFT total energy (eV per atom): -4.166
Magnetic moment (μB per cell): 0.0
Theoretical density (kg/m3): 8198
Calculated volume (A^3/atom): 27.42
ΔE_f (meV per atom): -469.9

Compound: YPaAlO6
Source: the Alexandria database
Functional: PBE
Structure: optimized geometry

Cell lengths 4.9358, 4.9358, 9.8682 Å; angles 90.00, 90.00, 90.00 degrees
Fractional coordinates of all 18 atoms:
Y 0.0000 0.0000 0.0000
Y 0.5000 0.5000 0.5000
Pa 0.0000 0.0000 0.6627
Pa 0.5000 0.5000 0.1627
Al 0.0000 0.0000 0.3311
Al 0.5000 0.5000 0.8311
O 0.1800 0.1800 0.4810
O 0.1893 0.1893 0.1852
O 0.2180 0.2180 0.8216
O 0.2820 0.7180 0.3216
O 0.3107 0.6893 0.6852
O 0.3200 0.6800 0.9810
O 0.6800 0.3200 0.9810
O 0.6893 0.3107 0.6852
O 0.7180 0.2820 0.3216
O 0.7820 0.7820 0.8216
O 0.8107 0.8107 0.1852
O 0.8200 0.8200 0.4810

Calculated values
DFT total energy (eV per atom): -8.529
Magnetic moment (μB per cell): 1.5
ΔE_f (raw) (meV per atom): -3034
Theoretical density (kg/m3): 6119
Calculated volume (A^3/atom): 13.36

Compound: RbMgPaTe3
Source: the Alexandria database
Functional: PBE
Structure: optimized geometry

Cell lengths 10.0749, 4.4756, 10.9221 Å; angles 90.00, 112.03, 90.00 degrees
Fractional coordinates of all 12 atoms:
Rb 0.1992 0.2500 0.2422
Rb 0.8008 0.7500 0.7578
Mg 0.0891 0.2500 0.6124
Mg 0.9109 0.7500 0.3876
Pa 0.3619 0.7500 0.8846
Pa 0.6381 0.2500 0.1154
Te 0.1332 0.2500 0.8772
Te 0.2135 0.7500 0.5435
Te 0.4627 0.7500 0.1873
Te 0.5373 0.2500 0.8127
Te 0.7865 0.2500 0.4565
Te 0.8668 0.7500 0.1228

Calculated values
DFT total energy (eV per atom): -4.466
Magnetic moment (μB per cell): 4.0
ΔE_f (raw) (meV per atom): -885
Theoretical density (kg/m3): 5264
Calculated volume (A^3/atom): 38.04

Compound: CsRbTl2
Source: the Alexandria database
Functional: PBE
Structure: optimized geometry

Cell lengths 4.8072, 4.8072, 8.4671 Å; angles 90.00, 90.00, 90.00 degrees
Fractional coordinates of all 4 atoms:
Cs 0.0000 0.0000 0.0000
Rb 0.0000 0.0000 0.5000
Tl 0.5000 0.5000 0.3022
Tl 0.5000 0.5000 0.6978

Calculated values
DFT total energy (eV per atom): -1.580
Magnetic moment (μB per cell): 0.0
Theoretical density (kg/m3): 5322
Calculated volume (A^3/atom): 48.92
Polymorph energy (0 for the lowest one) (meV per atom): 121.2
ΔE_f (meV per atom): 58.1

Compound: Pm9NdSc2
Source: the Alexandria database
Functional: PBE
Structure: optimized geometry

Cell lengths 5.0725, 5.0725, 15.2271 Å; angles 90.00, 90.00, 90.00 degrees
Fractional coordinates of all 12 atoms:
Pm 0.0000 0.0000 0.0000
Pm 0.0000 0.0000 0.3373
Pm 0.0000 0.0000 0.6627
Pm 0.0000 0.5000 0.1729
Pm 0.0000 0.5000 0.5000
Pm 0.0000 0.5000 0.8271
Pm 0.5000 0.0000 0.1729
Pm 0.5000 0.0000 0.5000
Pm 0.5000 0.0000 0.8271
Nd 0.5000 0.5000 0.0000
Sc 0.5000 0.5000 0.3365
Sc 0.5000 0.5000 0.6635

Calculated values
DFT total energy (eV per atom): -4.980
Magnetic moment (μB per cell): 0.0
Theoretical density (kg/m3): 6523
Calculated volume (A^3/atom): 32.65
ΔE_f (meV per atom): 35.4

Compound: Rb4NaU3S8
Source: the Alexandria database
Functional: PBE
Structure: optimized geometry

Cell lengths 9.0203, 9.0203, 9.0203 Å; angles 54.60, 54.60, 54.60 degrees
Fractional coordinates of all 16 atoms:
Rb 0.0000 0.0000 0.0000
Rb 0.0000 0.5000 0.5000
Rb 0.5000 0.0000 0.5000
Rb 0.5000 0.5000 0.0000
Na 0.5000 0.5000 0.5000
U 0.0000 0.0000 0.5000
U 0.0000 0.5000 0.0000
U 0.5000 0.0000 0.0000
S 0.2101 0.7399 0.7399
S 0.2307 0.2307 0.2307
S 0.2601 0.2601 0.7899
S 0.2601 0.7899 0.2601
S 0.7399 0.2101 0.7399
S 0.7399 0.7399 0.2101
S 0.7693 0.7693 0.7693
S 0.7899 0.2601 0.2601

Calculated values
DFT total energy (eV per atom): -5.875
Magnetic moment (μB per cell): 7.0
ΔE_f (raw) (meV per atom): -1371
Theoretical density (kg/m3): 4887
Calculated volume (A^3/atom): 28.36

Compound: ZrCd2Br2
Source: the Alexandria database
Functional: PBE
Structure: optimized geometry

Cell lengths 7.1477, 7.1477, 6.2819 Å; angles 90.00, 90.00, 90.00 degrees
Fractional coordinates of all 10 atoms:
Zr 0.0000 0.0000 0.0000
Zr 0.5000 0.5000 0.0000
Cd 0.1587 0.3413 0.5000
Cd 0.3413 0.8413 0.5000
Cd 0.6587 0.1587 0.5000
Cd 0.8413 0.6587 0.5000
Br 0.1699 0.6699 0.0000
Br 0.3301 0.1699 0.0000
Br 0.6699 0.8301 0.0000
Br 0.8301 0.3301 0.0000

Calculated values
DFT total energy (eV per atom): -2.903
Magnetic moment (μB per cell): 4.0
ΔE_f (raw) (meV per atom): -158
Theoretical density (kg/m3): 4924
Calculated volume (A^3/atom): 32.09
Polymorph energy (0 for the lowest one) (meV per atom): 68.4

Compound: TiMn2H2
Source: the Alexandria database
Functional: PBE
Structure: optimized geometry

Cell lengths 6.1336, 6.1336, 2.4990 Å; angles 90.00, 90.00, 90.00 degrees
Fractional coordinates of all 10 atoms:
Ti 0.0000 0.0000 0.0000
Ti 0.5000 0.5000 0.0000
Mn 0.1192 0.3808 0.0000
Mn 0.3808 0.8808 0.0000
Mn 0.6192 0.1192 0.0000
Mn 0.8808 0.6192 0.0000
H 0.1234 0.6234 0.5000
H 0.3766 0.1234 0.5000
H 0.6234 0.8766 0.5000
H 0.8766 0.3766 0.5000

Calculated values
DFT total energy (eV per atom): -6.020
Magnetic moment (μB per cell): 1.7
Theoretical density (kg/m3): 5643
Calculated volume (A^3/atom): 9.40
Polymorph energy (0 for the lowest one) (meV per atom): 663.9